Here is a relaxed structure of KTb4CeS8 from Alexandria. Energies are from PBE-GGA.

a = 8.244 Å, b = 8.244 Å, c = 8.357 Å
α = 60.45°, β = 60.45°, γ = 60.00°
Fractional coordinates of all 14 atoms:
1 S 0.757 0.757 0.728
2 S 0.237 0.799 0.726
3 S 0.233 0.233 0.301
4 S 0.753 0.753 0.264
5 S 0.231 0.753 0.264
6 S 0.799 0.237 0.726
7 S 0.237 0.237 0.726
8 S 0.753 0.231 0.264
9 Tb 0.005 0.005 0.503
10 Tb 0.626 0.626 0.123
11 Tb 0.488 0.005 0.503
12 Tb 0.005 0.488 0.503
13 K 0.373 0.373 0.881
14 Ce 0.004 0.004 0.989

Computed properties:
Electronic total energy (eV per cell): -85.29
Magnetization (μB/atom): 0.07
Space group: R3m

Here is a relaxed structure of CrHgRh2 from Alexandria. Energies are from PBE-GGA.

a = 4.872 Å, b = 4.872 Å, c = 4.783 Å
α = 78.65°, β = 78.65°, γ = 34.62°
Fractional coordinates of all 4 atoms:
1 Hg 0.249 0.249 0.241
2 Rh 0.007 0.007 0.986
3 Rh 0.755 0.755 0.736
4 Cr 0.489 0.489 0.537

Computed properties:
DFT formation energy (eV per atom): 0.2058
Magnetization (μB/atom): 0.64
Space group: Cm

Here is a relaxed structure of Rb2MgUSe4 from Alexandria. Energies are from PBE-GGA.

a = 4.224 Å, b = 7.199 Å, c = 8.338 Å
α = 107.30°, β = 90.00°, γ = 90.00°
Fractional coordinates of all 8 atoms:
1 Se 0.000 0.730 0.196
2 Se 0.500 0.773 0.815
3 Se 0.000 0.270 0.804
4 Se 0.500 0.227 0.185
5 Rb 0.500 0.000 0.500
6 Rb 0.000 0.500 0.500
7 U 0.500 0.500 0.000
8 Mg 0.000 0.000 0.000

Computed properties:
Electronic total energy (eV per cell): -38.60
Magnetization (μB/atom): 0.25
Space group: P2/m

Here is a relaxed structure of BeVMo from Alexandria. Energies are from PBE-GGA.

a = 3.234 Å, b = 5.738 Å, c = 4.675 Å
α = 72.16°, β = 69.77°, γ = 73.63°
Fractional coordinates of all 6 atoms:
1 V 0.412 0.838 0.338
2 V 0.588 0.162 0.662
3 Be 0.120 0.855 0.905
4 Be 0.880 0.145 0.095
5 Mo 0.178 0.410 0.233
6 Mo 0.822 0.590 0.767

Computed properties:
E above lowest polymorph (kJ per mole of atoms): 0.0
DFT formation energy (eV per atom): 0.0021
Magnetization (μB/atom): 0.00
Space group: C2/m

Here is a relaxed structure of VReIr2Br from Alexandria. Energies are from PBE-GGA.

a = 4.779 Å, b = 4.737 Å, c = 4.779 Å
α = 90.00°, β = 90.00°, γ = 90.00°
Fractional coordinates of all 5 atoms:
1 Br 0.500 0.500 0.500
2 V 0.000 0.500 0.000
3 Re 0.000 0.000 0.000
4 Ir 0.500 0.000 0.000
5 Ir 0.000 0.000 0.500

Computed properties:
Electronic total energy (eV per cell): -32.81
Magnetization (μB/atom): 0.07
Space group: P4/mmm

Here is a relaxed structure of Co2RuBr from Alexandria. Energies are from PBE-GGA.

a = 7.777 Å, b = 7.777 Å, c = 7.777 Å
α = 22.68°, β = 22.68°, γ = 22.68°
Fractional coordinates of all 4 atoms:
1 Ru 0.250 0.250 0.250
2 Co 0.994 0.994 0.994
3 Co 0.506 0.506 0.506
4 Br 0.750 0.750 0.750

Computed properties:
E above lowest polymorph (kJ per mole of atoms): 11.9
Magnetization (μB/atom): 1.23
Space group: R-3m